(1)
Material: Sr2CaZn2
Method: DFT, PBE-GGA
State: optimized geometry

```
5
Lattice="-0.346 4.285 3.018 -5.171 -0.771 0.501 -1.724 -1.815 6.949" Properties=species:S:1:pos:R:3 pbc="T T T"
Ca 0.000 0.000 0.000
Zn -4.682 0.630 7.710
Zn -2.560 1.070 2.758
Sr -2.415 2.113 5.863
Sr -4.827 -0.414 4.605
```

Summary:
The space group is I4/mmm. The formation energy is -0.01 eV/atom. The calculation puts the density of states at the Fermi level at 5.65 states/eV/cell. The value obtained for the mass density is 3.26 g/cm3. The calculation puts the energy relative to the lowest polymorph listed for this composition at 0.77 eV per formula unit.

---

(2)
Material: SrCa5Zn4
Method: DFT, PBE-GGA
State: optimized geometry

```
10
Lattice="3.742 0.000 0.000 0.000 3.742 0.000 0.000 0.000 20.767" Properties=species:S:1:pos:R:3 pbc="T T T"
Ca 1.871 1.871 17.581
Zn 0.000 0.000 8.596
Ca 1.871 1.871 6.784
Zn 0.000 0.000 15.835
Zn 0.000 0.000 4.931
Zn 0.000 0.000 12.170
Ca 1.871 1.871 3.186
Sr 0.000 0.000 0.000
Ca 1.871 1.871 10.383
Ca 1.871 1.871 13.982
```

Summary:
The space group is P4/mmm. The formation energy is -0.17 eV/atom. The calculation puts the density of states at the Fermi level at 10.55 states/eV/cell. The value obtained for the mass density is 3.14 g/cm3.

---

(3)
Material: Sr4CaZn
Method: DFT, PBE-GGA
State: optimized geometry

```
6
Lattice="0.000 5.356 5.356 5.356 0.000 5.356 5.356 5.356 0.000" Properties=species:S:1:pos:R:3 pbc="T T T"
Sr 6.696 6.696 4.015
Sr 4.015 4.015 4.015
Sr 6.696 4.015 6.696
Sr 4.015 6.696 6.696
Ca 0.000 0.000 0.000
Zn 8.034 8.034 8.034
```

Summary:
The space group is F-43m. The formation energy is 0.38 eV/atom. The calculation puts the density of states at the Fermi level at 5.97 states/eV/cell. The value obtained for the mass density is 2.46 g/cm3. The calculation puts the energy relative to the lowest polymorph listed for this composition at 2.60 eV per formula unit.

---

(4)
Material: SrCaZn2
Method: DFT, PBE-GGA
State: optimized geometry

```
8
Lattice="-1.637 -2.546 -6.325 3.422 -5.933 1.503 -4.898 -6.926 0.169" Properties=species:S:1:pos:R:3 pbc="T T T"
Zn -2.930 -8.503 -1.649
Ca -0.292 -8.549 -0.370
Zn 0.674 -5.813 0.053
Sr 0.000 0.000 0.000
Zn -1.784 -4.009 -3.585
Sr -2.821 -6.855 -4.283
Ca 0.892 -4.239 -2.411
Zn -2.186 -12.484 -4.125
```

Summary:
The space group is I-42d. The formation energy is 0.36 eV/atom. The calculation puts the density of states at the Fermi level at 4.84 states/eV/cell. The value obtained for the mass density is 2.54 g/cm3.

---

(5)
Material: Sr5CaZn4
Method: DFT, PBE-GGA
State: optimized geometry

```
10
Lattice="3.926 0.000 0.000 0.000 3.926 0.000 0.000 0.000 21.611" Properties=species:S:1:pos:R:3 pbc="T T T"
Sr 1.963 1.963 10.805
Ca 0.000 0.000 0.000
Zn 0.000 0.000 8.872
Zn 0.000 0.000 4.900
Zn 0.000 0.000 12.739
Sr 1.963 1.963 18.565
Sr 1.963 1.963 3.046
Zn 0.000 0.000 16.710
Sr 1.963 1.963 6.911
Sr 1.963 1.963 14.700
```

Summary:
The space group is P4/mmm. The formation energy is -0.14 eV/atom. The calculation puts the density of states at the Fermi level at 8.29 states/eV/cell. The value obtained for the mass density is 3.69 g/cm3.

---

(6)
Material: Sr2CaZn2
Method: DFT, PBE-GGA
State: optimized geometry

```
5
Lattice="-1.167 -3.775 0.663 0.599 -0.864 -3.866 10.420 -5.224 0.707" Properties=species:S:1:pos:R:3 pbc="T T T"
Sr 7.264 -6.764 -1.514
Zn 4.484 -5.659 -0.115
Ca 0.000 0.000 0.000
Sr 2.588 -3.099 -0.982
Zn 5.367 -4.204 -2.380
```

Summary:
The space group is I4/mmm. The formation energy is 0.02 eV/atom. The calculation puts the density of states at the Fermi level at 1.85 states/eV/cell. The value obtained for the mass density is 3.16 g/cm3. The calculation puts the energy relative to the lowest polymorph listed for this composition at 0.90 eV per formula unit.